## 1
# NiN2ClF, optimized geometry, DFT GGA+U
# Space group   P4/mmm, No. 123
# Crystal system   tetragonal
# Total moment   1.881 Bohr magnetons per cell
data_NiN2ClF
_cell_length_a 3.430
_cell_length_b 3.430
_cell_length_c 5.475
_cell_angle_alpha 90.00
_cell_angle_beta 90.00
_cell_angle_gamma 90.00
_space_group_name_H-M_alt 'P 1'
_space_group_IT_number 1
_space_group_name_Hall 'P 1'
loop_
_atom_site_label
_atom_site_fract_x
_atom_site_fract_y
_atom_site_fract_z
Ni1 0.000 0.000 0.000
N1 0.000 0.500 0.500
N2 0.500 0.000 0.500
Cl1 0.500 0.500 0.500
F1 0.500 0.500 0.000


## 2
# NiN2ClF, optimized geometry, DFT GGA+U
# Space group   P4/mmm, No. 123
# Crystal system   tetragonal
# Total moment   4.000 Bohr magnetons per cell
data_NiN2ClF
_cell_length_a 3.956
_cell_length_b 3.956
_cell_length_c 3.860
_cell_angle_alpha 90.00
_cell_angle_beta 90.00
_cell_angle_gamma 90.00
_space_group_name_H-M_alt 'P 1'
_space_group_IT_number 1
_space_group_name_Hall 'P 1'
loop_
_atom_site_label
_atom_site_fract_x
_atom_site_fract_y
_atom_site_fract_z
Ni1 0.000 0.000 0.000
N1 0.000 0.500 0.000
N2 0.500 0.000 0.000
Cl1 0.500 0.500 0.500
F1 0.000 0.000 0.500


Stability summary - winner: 2; margin: 596 meV/atom.